1.
A geometry-optimized AlTe structure. Source: the Alexandria database, functional PBE.

Output
total energy = -3.381 eV/atom
theoretical density = 4759 kg/m3
total magnetization = 0.0 μB per cell
formation energy from raw total energies = 61.2 meV per atom

Lattice parameters (Å, degrees): 3.4199 3.4199 9.9505 90.00 90.00 112.04
With the nearest neighbours (Å) after each atom.
Element x y z (fractional)
Te  0.0000  0.0000  0.5747  2 Al 2.76
Te  0.5000  0.5000  0.1753  2 Al 2.76
Al  0.0000  0.0000  0.9757  2 Te 2.76, 2 Al 2.77
Al  0.5000  0.5000  0.7743  2 Te 2.76, 2 Al 2.77


2.
A geometry-optimized AlTe2 structure. Source: the Alexandria database, functional PBE.

Output
total energy = -3.234 eV/atom
theoretical density = 6104 kg/m3
total magnetization = 0.0 μB per cell
formation energy from raw total energies = 107.5 meV per atom

Lattice parameters (Å, degrees): 6.3073 6.3073 6.3073 146.33 146.34 48.35
With the nearest neighbours (Å) after each atom.
Element x y z (fractional)
Te  0.3604  0.3604  0.0000  4 Al 3.04, 1 Te 3.21
Te  0.6396  0.6396  0.0000  4 Al 3.04, 1 Te 3.21
Al  0.0000  0.0000  0.0000  8 Te 3.04


Q: Which of these has the lowest theoretical density?
A: AlTe


Q: Among the records above, which one has the lowest total energy?
A: AlTe